A:
# LiSbHPtSe

A relaxed structure of LiSbHPtSe (GGA-PBE, Alexandria).

Computed properties:
- Symmetry: P1, No. 1

a b c (Å): 3.5930 4.7066 6.2020
angles (deg): 90.49 106.76 112.38
Positions (direct):
1 Se 0.9350 0.2584 0.7430
2 Sb 0.1879 0.3032 0.1908
3 Li 0.6401 0.6683 0.7438
4 H 0.0191 0.8072 0.3629
5 Pt 0.5533 0.9011 0.3239


B:
# LiSbHPtSe

A relaxed structure of LiSbHPtSe (GGA-PBE, Alexandria).

Computed properties:
- Symmetry: Cm, No. 8

a b c (Å): 7.3159 4.3314 6.1526
angles (deg): 90.00 100.75 90.00
Positions (direct):
1 Pt 0.5867 0.5000 0.1247
2 Sb 0.7750 0.0000 0.0333
3 Pt 0.5867 0.0000 0.6247
4 Sb 0.7750 0.5000 0.5333
5 H 0.1395 0.5000 0.1822
6 H 0.1395 0.0000 0.6822
7 Li 0.3724 0.5000 0.4425
8 Se 0.2172 0.5000 0.9739
9 Li 0.3724 0.0000 0.9425
10 Se 0.2172 0.0000 0.4739


Stability verdict: A, ahead by 51 meV per atom


A:
# LiSbHPtSe

A relaxed structure of LiSbHPtSe (GGA-PBE, Alexandria).

Computed properties:
- Symmetry: Cm, No. 8

a b c (Å): 3.9988 3.8525 11.3767
angles (deg): 90.00 103.15 90.00
Positions (direct):
1 Li 0.0668 0.0000 0.7524
2 Se 0.5329 0.5000 0.7548
3 Sb 0.5525 0.0000 0.5003
4 Pt 0.0987 0.0000 0.0424
5 Pt 0.0987 0.5000 0.5424
6 H 0.9015 0.5000 0.4048
7 Sb 0.5525 0.5000 0.0003
8 Li 0.0668 0.5000 0.2524
9 H 0.9015 0.0000 0.9048
10 Se 0.5329 0.0000 0.2548


B:
# LiSbHPtSe

A relaxed structure of LiSbHPtSe (GGA-PBE, Alexandria).

Computed properties:
- Symmetry: P1, No. 1

a b c (Å): 4.0528 4.0482 7.0609
angles (deg): 95.87 105.28 111.06
Positions (direct):
1 Sb 0.0752 0.3451 0.9869
2 Pt 0.7834 0.7627 0.1140
3 Li 0.5471 0.5876 0.6994
4 Se 0.9330 0.0015 0.4986
5 H 0.6904 0.2064 0.4624


Stability verdict: A, ahead by 130 meV per atom


A:
# LiSbHPtSe

A relaxed structure of LiSbHPtSe (GGA-PBE, Alexandria).

Computed properties:
- Symmetry: Cm, No. 8

a b c (Å): 5.6330 3.8641 8.1044
angles (deg): 90.00 103.46 90.00
Positions (direct):
1 H 0.5460 0.0000 0.4695
2 Se 0.3541 0.0000 0.6830
3 Se 0.3541 0.5000 0.1830
4 Sb 0.8713 0.5000 0.5228
5 Pt 0.6723 0.0000 0.3078
6 Li 0.1918 0.0000 0.3594
7 Li 0.1918 0.5000 0.8594
8 Pt 0.6723 0.5000 0.8078
9 H 0.5460 0.5000 0.9695
10 Sb 0.8713 0.0000 0.0228


B:
# LiSbHPtSe

A relaxed structure of LiSbHPtSe (GGA-PBE, Alexandria).

Computed properties:
- Symmetry: Pm, No. 6

a b c (Å): 4.2157 3.5497 6.0566
angles (deg): 90.00 106.06 90.00
Positions (direct):
1 Li 0.7259 0.0000 0.4805
2 Se 0.4749 0.5000 0.1694
3 Sb 0.2807 0.5000 0.6246
4 H 0.8798 0.0000 0.9095
5 Pt 0.8820 0.5000 0.9069


Stability verdict: A, ahead by 42 meV per atom


A:
# LiSbHPtSe

A relaxed structure of LiSbHPtSe (GGA-PBE, Alexandria).

Computed properties:
- Symmetry: Cm, No. 8

a b c (Å): 5.9488 3.8486 8.9670
angles (deg): 90.00 111.12 90.00
Positions (direct):
1 Pt 0.1378 0.5000 0.4009
2 Li 0.7308 0.5000 0.4822
3 Sb 0.3850 0.0000 0.5801
4 Sb 0.3850 0.5000 0.0801
5 Se 0.8307 0.5000 0.7950
6 Pt 0.1378 0.0000 0.9009
7 H 0.2802 0.0000 0.7563
8 H 0.2802 0.5000 0.2563
9 Li 0.7308 0.0000 0.9822
10 Se 0.8307 0.0000 0.2950


B:
# LiSbHPtSe

A relaxed structure of LiSbHPtSe (GGA-PBE, Alexandria).

Computed properties:
- Symmetry: P1, No. 1

a b c (Å): 4.1648 4.6255 6.0841
angles (deg): 91.11 109.60 115.37
Positions (direct):
1 Pt 0.6630 0.8290 0.6859
2 Li 0.0218 0.8861 0.3350
3 Sb 0.0449 0.4821 0.7818
4 Se 0.2974 0.4879 0.2610
5 H 0.8473 0.9505 0.9654


Stability verdict: B, ahead by 81 meV per atom


A:
# LiSbHPtSe

A relaxed structure of LiSbHPtSe (GGA-PBE, Alexandria).

Computed properties:
- Symmetry: Amm2, No. 38

a b c (Å): 3.5295 3.8998 12.7762
angles (deg): 90.00 90.00 90.00
Positions (direct):
1 Pt 0.5000 0.5000 0.2428
2 Sb 0.5000 0.0000 0.1048
3 H 0.0000 0.5000 0.2352
4 Li 0.0000 0.0000 0.9113
5 Se 0.5000 0.0000 0.3819
6 Pt 0.5000 0.0000 0.7428
7 H 0.0000 0.0000 0.7352
8 Li 0.0000 0.5000 0.4113
9 Se 0.5000 0.5000 0.8819
10 Sb 0.5000 0.5000 0.6048


B:
# LiSbHPtSe

A relaxed structure of LiSbHPtSe (GGA-PBE, Alexandria).

Computed properties:
- Symmetry: Cm, No. 8

a b c (Å): 6.3084 4.2833 7.4899
angles (deg): 90.00 112.90 90.00
Positions (direct):
1 H 0.9319 0.5000 0.5665
2 Li 0.3719 0.5000 0.0488
3 Li 0.3719 0.0000 0.5488
4 Sb 0.8377 0.0000 0.3661
5 Pt 0.6542 0.0000 0.9742
6 Pt 0.6542 0.5000 0.4742
7 H 0.9319 0.0000 0.0665
8 Sb 0.8377 0.5000 0.8661
9 Se 0.2333 0.5000 0.3347
10 Se 0.2333 0.0000 0.8347


Stability verdict: A, ahead by 20 meV per atom


A:
# LiScHPt2

A relaxed structure of LiScHPt2 (GGA-PBE, Alexandria).

Computed properties:
- Symmetry: P4/mmm, No. 123

a b c (Å): 4.0426 4.0461 4.0426
angles (deg): 90.00 90.00 90.00
Positions (direct):
1 Pt 0.5000 0.0000 0.0000
2 Sc 0.0000 0.5000 0.0000
3 Pt 0.0000 0.0000 0.5000
4 Li 0.5000 0.5000 0.5000
5 H 0.0000 0.0000 0.0000


B:
# LiScHPt2

A relaxed structure of LiScHPt2 (GGA-PBE, Alexandria).

Computed properties:
- Symmetry: P4/mmm, No. 123

a b c (Å): 4.0615 4.0615 3.9468
angles (deg): 90.00 90.00 90.00
Positions (direct):
1 Pt 0.0000 0.5000 0.0000
2 H 0.0000 0.0000 0.0000
3 Pt 0.5000 0.0000 0.0000
4 Li 0.0000 0.0000 0.5000
5 Sc 0.5000 0.5000 0.5000


Stability verdict: B, ahead by 57 meV per atom